Record 1
As2PdO: optimized geometry, PBE.

```
As2PdO
1.0
0.0000 3.0638 3.0638
3.0638 0.0000 3.0638
3.0638 3.0638 0.0000
As Pd O
2 1 1
Direct
0.2500 0.2500 0.2500
0.7500 0.7500 0.7500
0.5000 0.5000 0.5000
0.0000 0.0000 0.0000
```


Record 2
As2PdO6: optimized geometry, PBE.

```
As2PdO6
1.0
-3.3866 -0.5751 -3.5318
3.6491 -3.2765 0.4708
-2.6692 -2.5454 2.9739
Pd O As
1 6 2
Direct
0.0000 0.0000 0.0000
0.0000 0.3728 0.2811
0.6272 0.0000 0.7189
0.6272 0.6272 0.2811
0.3728 0.0000 0.2811
0.0000 0.6272 0.7189
0.3728 0.3728 0.7189
0.6667 0.3333 0.5000
0.3333 0.6667 0.5000
```


Record 3
As2PdO6: optimized geometry, PBE.

```
As2PdO6
1.0
-3.9315 -3.2600 -1.8939
0.2311 -1.8578 -5.1153
1.1738 -5.4656 -0.8622
O As Pd
6 2 1
Direct
0.3588 0.5845 0.1791
0.7175 0.3749 0.7092
0.3749 0.1984 0.7092
0.8776 0.3588 0.1791
0.5845 0.8776 0.1791
0.1984 0.7175 0.7092
0.7066 0.7066 0.8802
0.5159 0.5159 0.4524
0.3316 0.3316 0.0053
```


Record 4
As2PdO: optimized geometry, PBE.

```
As2PdO
1.0
-0.8366 4.2613 2.2959
-3.2246 1.2470 -3.4895
-6.4477 0.1829 2.5662
As Pd O
4 2 2
Direct
0.1846 0.6250 0.2500
0.8750 0.8154 0.7500
0.3750 0.4346 0.7500
0.5654 0.1250 0.2500
0.0000 0.0000 0.0000
0.7500 0.2500 0.5000
0.5000 0.5000 0.0000
0.2500 0.7500 0.5000
```


Record 5
PmAs2PdO8: optimized geometry, PBE.

```
PmAs2PdO8
1.0
-1.6045 0.8134 -5.7754
-3.8802 -3.1068 3.4472
0.3712 5.5230 2.4392
Pd As O Pm
1 2 8 1
Direct
0.2500 0.7500 0.5000
0.7500 0.2500 0.5000
0.5000 0.5000 0.0000
0.3219 0.1421 0.8203
0.3219 0.5016 0.1797
0.7478 0.0710 0.6768
0.9290 0.2522 0.3232
0.3942 0.0710 0.3232
0.4984 0.6781 0.8203
0.8579 0.6781 0.1797
0.9290 0.6058 0.6768
0.0000 0.0000 0.0000
```


Record 6
Pm2AsPdO6: optimized geometry, PBE.

```
Pm2AsPdO6
1.0
-0.7749 -2.0567 4.3169
-0.8606 -4.7725 -2.4282
5.2840 -1.1554 0.3981
Pd O Pm As
1 6 2 1
Direct
0.5303 0.5000 0.5000
0.0900 0.5000 0.5000
0.2535 0.0000 0.0000
0.7316 0.2257 0.2257
0.7316 0.7743 0.2257
0.7316 0.7743 0.7743
0.7316 0.2257 0.7743
0.0148 0.5000 0.0000
0.0148 0.0000 0.5000
0.6169 0.0000 0.0000
```


| no. | E_form (uncorrected) (eV/atom) | E (eV/atom) | magnetization (μB/cell) |
| --- | --- | --- | --- |
| 1 | 0.141 | -4.72 | 0.00 |
| 2 | -0.905 | -5.82 | 2.01 |
| 3 | -0.644 | -5.56 | 0.00 |
| 4 | -0.120 | -4.98 | 0.00 |
| 5 | -1.339 | -6.25 | 2.99 |
| 6 | -1.908 | -6.82 | 0.82 |